Entry 1:
Below is a relaxed structure of Pr4GaHg2, with properties calculated at the PBE level.

Computed properties:
M_tot (Bohr magnetons per cell): 4.138
DOS at the Fermi energy (states/eV/f.u.): 8.934
Energy of formation from the pure elements (eV per atom): -0.33

```
data_Pr4GaHg2
_cell_length_a 5.3690
_cell_length_b 5.3690
_cell_length_c 25.8881
_cell_angle_alpha 90.00
_cell_angle_beta 90.00
_cell_angle_gamma 120.00
_space_group_name_H-M_alt 'R -3 m'
_space_group_IT_number 166
_space_group_name_Hall '-R 3 2"'
loop_
_atom_site_label
_atom_site_type_symbol
_atom_site_fract_x
_atom_site_fract_y
_atom_site_fract_z
_atom_site_occupancy
Pr1 Pr 0.0000 0.0000 0.1230 1
Pr2 Pr 0.0000 0.0000 0.3750 1
Ga1 Ga 0.0000 0.0000 0.5000 1
Hg1 Hg 0.0000 0.0000 0.2498 1
```



Entry 2:
Below is a relaxed structure of AcNdTlCd, with properties calculated at the PBE level.

Computed properties:
M_tot (Bohr magnetons per cell): 0.001
DOS at the Fermi energy (states/eV/f.u.): 5.575
Energy of formation from the pure elements (eV per atom): -0.33

```
data_AcNdTlCd
_cell_length_a 3.983
_cell_length_b 3.983
_cell_length_c 8.039
_cell_angle_alpha 90.00
_cell_angle_beta 90.00
_cell_angle_gamma 90.00
_space_group_name_H-M_alt 'P 4 m m'
_space_group_IT_number 99
_space_group_name_Hall 'P 4 -2'
loop_
_atom_site_label
_atom_site_type_symbol
_atom_site_fract_x
_atom_site_fract_y
_atom_site_fract_z
_atom_site_occupancy
Ac1 Ac 0.000 0.000 0.000 1
Nd1 Nd 0.000 0.000 0.488 1
Tl1 Tl 0.500 0.500 0.722 1
Cd1 Cd 0.500 0.500 0.268 1
```



Entry 3:
Below is a relaxed structure of CdHgP2, with properties calculated at the PBE level.

Computed properties:
M_tot (Bohr magnetons per cell): 0.000
DOS at the Fermi energy (states/eV/f.u.): 1.668
Energy of formation from the pure elements (eV per atom): 0.36

```
data_CdHgP2
_cell_length_a 3.934
_cell_length_b 3.934
_cell_length_c 5.756
_cell_angle_alpha 90.00
_cell_angle_beta 90.00
_cell_angle_gamma 90.00
_space_group_name_H-M_alt 'P 4/m m m'
_space_group_IT_number 123
_space_group_name_Hall '-P 4 2'
loop_
_atom_site_label
_atom_site_type_symbol
_atom_site_fract_x
_atom_site_fract_y
_atom_site_fract_z
_atom_site_occupancy
Cd1 Cd 0.000 0.000 0.000 1
Hg1 Hg 0.000 0.000 0.500 1
P1 P 0.500 0.500 0.183 1
```



| no. | mass density (g cm⁻³) |
| --- | --- |
| 1 | 7.97 |
| 2 | 8.96 |
| 3 | 6.99 |